The following is a PBE-GGA calculation of KMgMnBr6 after structural relaxation, from the Alexandria database.

a = 6.8380 Å, b = 6.8380 Å, c = 14.7472 Å
α = 90.00°, β = 90.00°, γ = 120.00°
Last column: nearest neighbours and their distance in Å.
Space group P-31c (No. 163)
Symmetry-distinct sites (fractional):
K 0.0000 0.0000 0.0000 [2 per cell]  6 Br 3.36
Mg 0.3333 0.6667 0.2500 [2 per cell]  6 Br 2.68
Mn 0.3333 0.6667 0.7500 [2 per cell]  6 Br 2.58
Br 0.0120 0.3795 0.6480 [12 per cell]  1 Mn 2.58, 1 Mg 2.68

The calculation puts the uncorrected formation energy at -1.16 eV per atom. For the calculated total energy, the calculation gives -3.589 eV/atom. For the calculated volume, the calculation gives 33.18 Å³ per atom.